Material: Ir4Ru2Rh3
Method: DFT, PBE-GGA
State: relaxed

Cell lengths 11.5557, 3.8453, 6.0907 Å; angles 90.00, 108.47, 90.00 degrees
With the nearest neighbours (Å) after each atom.
Space group C2/m (No. 12)
Unique sites:
Ir: 0.0562 0.0000 0.3302 x4  4 Ir 2.70-2.77, 6 Rh 2.71-2.74, 2 Ru 2.73-2.75
Ir: 0.2203 0.5000 0.3285 x4  3 Ru 2.68-2.70, 4 Rh 2.69-2.74, 5 Ir 2.70-2.76
Ru: 0.1705 0.0000 0.0004 x4  2 Ru 2.66, 5 Rh 2.68-2.75, 5 Ir 2.68-2.75
Rh: 0.0000 0.5000 0.0000 x2  6 Ir 2.69-2.71, 2 Rh 2.72, 4 Ru 2.75
Rh: 0.1118 0.5000 0.6686 x4  3 Ru 2.68-2.72, 2 Rh 2.72-2.74, 7 Ir 2.73-2.74

D(E_F) = 8.6 states/eV/f.u.
Calculated volume = 256.7 Å³ per cell
Energy = -8.47 eV per atom
ΔE to the lowest computed polymorph = 0.0 meV per atom
Total magnetization = 0.0 Bohr magnetons per cell
Formation energy = -0.02 eV per atom



Material: CdTcIr2
Method: DFT, PBE-GGA
State: relaxed

Cell lengths 2.8034, 3.8262, 5.8834 Å; angles 90.00, 90.00, 90.00 degrees
With the nearest neighbours (Å) after each atom.
Space group Pmmm (No. 47)
Unique sites:
Cd: 0.0000 0.0000 0.0000 x1  2 Cd 2.80, 8 Ir 2.87, 2 Tc 2.94
Tc: 0.0000 0.0000 0.5000 x1  8 Ir 2.72, 2 Tc 2.80, 2 Cd 2.94
Ir: 0.5000 0.5000 0.2739 x2  3 Ir 2.66-2.80, 4 Tc 2.72, 4 Cd 2.87

D(E_F) = 4.1 states/eV/f.u.
Calculated volume = 63.1 Å³ per cell
Energy = -7.15 eV per atom
Total magnetization = 0.0 Bohr magnetons per cell
Formation energy = 0.10 eV per atom



Material: TmLuCuGe
Method: DFT, PBE-GGA
State: relaxed

Cell lengths 6.9016, 6.9016, 6.9016 Å; angles 90.00, 90.00, 90.00 degrees
With the nearest neighbours (Å) after each atom.
Space group F-43m (No. 216)
Unique sites:
Tm: 0.0000 0.0000 0.0000 x4  4 Ge 2.99, 4 Cu 2.99
Lu: 0.0000 0.0000 0.5000 x4  4 Ge 2.99, 4 Cu 2.99
Cu: 0.2500 0.2500 0.2500 x4  4 Tm 2.99, 4 Lu 2.99
Ge: 0.2500 0.2500 0.7500 x4  4 Tm 2.99, 4 Lu 2.99

D(E_F) = 2.7 states/eV/f.u.
Calculated volume = 328.7 Å³ per cell
Energy = -4.91 eV per atom
Total magnetization = 0.0 Bohr magnetons per cell
Formation energy = -0.49 eV per atom



Material: Nd3Hg2Pb2
Method: DFT, PBE-GGA
State: relaxed

Cell lengths 8.7078, 5.2833, 9.6210 Å; angles 90.00, 110.97, 90.00 degrees
With the nearest neighbours (Å) after each atom.
Space group C2/m (No. 12)
Unique sites:
Nd: 0.0000 0.0000 0.0000 x2  6 Pb 3.25
Nd: 0.0651 0.5000 0.6996 x4  3 Pb 3.29, 4 Hg 3.33-3.45, 1 Nd 3.60
Hg: 0.1572 0.0000 0.4688 x4  3 Hg 3.01-3.04, 3 Nd 3.33-3.36
Pb: 0.2149 0.5000 0.1437 x4  6 Nd 3.25-3.29, 1 Hg 3.49

D(E_F) = 3.9 states/eV/f.u.
Calculated volume = 413.3 Å³ per cell
Energy = -3.64 eV per atom
Total magnetization = 0.0 Bohr magnetons per cell
Formation energy = -0.45 eV per atom